1.
! La2PmTl3 PBE relaxed; values from VASP
! ΔH_f (0 K)   -0.414 eV/atom
! SG   P4/mmm, No. 123
&SYSTEM
  ibrav = 0, nat = 6, ntyp = 3
/
ATOMIC_SPECIES
Tl 204.38 Tl.upf
Pm 145.00 Pm.upf
La 138.91 La.upf
CELL_PARAMETERS angstrom
-2.8562 -1.7906 1.9910
-0.3167 -2.6647 -2.8508
8.1893 -6.9015 5.5413
ATOMIC_POSITIONS crystal
Tl 0.0000 0.0000 0.6575
Tl 0.0000 0.0000 0.3425
Tl 0.0000 0.0000 0.0000
Pm 0.5000 0.5000 0.5000
La 0.5000 0.5000 0.1705
La 0.5000 0.5000 0.8295

***

2.
! LiY2Te PBE relaxed; values from VASP
! Formation energy without anion corrections   -2.7 eV/f.u.
! SG   Amm2, No. 38
&SYSTEM
  ibrav = 0, nat = 4, ntyp = 3
/
ATOMIC_SPECIES
Te 127.60 Te.upf
Li 6.94 Li.upf
Y 88.91 Y.upf
CELL_PARAMETERS angstrom
4.2619 0.0000 0.0000
0.0000 4.1719 -0.0028
0.0000 2.0899 5.8213
ATOMIC_POSITIONS crystal
Te 0.5000 0.5551 0.7648
Li 0.0000 0.6980 0.4784
Y 0.0000 0.9693 0.9366
Y 0.5000 0.2776 0.3202

***

Number 1: ΔE to the lowest computed polymorph 0 meV/atom, density 9.31 g/cm3, total energy -24.19 eV/cell. Number 2: ΔE to the lowest computed polymorph 0 meV/atom, density 5.01 g/cm3, total energy -20.72 eV/cell.